1.
PBE LiCaInP2, relaxed; M_tot = 0.00 μB per cell; total DFT energy (no corrections) = -4.146 eV/atom; symmetry = No. 12; formation energy from the elements = -651 meV/atom
1.0
6.764 -2.067 0.000
6.764 2.067 0.000
-1.236 0.000 8.313
Li Ca In P
2 2 2 4
direct
0.181 0.181 0.056
0.819 0.819 0.944
0.186 0.186 0.683
0.814 0.814 0.317
0.442 0.442 0.804
0.558 0.558 0.196
0.144 0.144 0.342
0.371 0.371 0.099
0.629 0.629 0.901
0.856 0.856 0.658

2.
PBE LiCaIn2Pd, relaxed; M_tot = 0.00 μB per cell; total DFT energy (no corrections) = -3.222 eV/atom; symmetry = No. 123; formation energy from the elements = -305 meV/atom
1.0
5.169 0.000 0.000
0.000 5.169 0.000
0.000 0.000 4.825
Li Ca In Pd
1 1 2 1
direct
0.000 0.000 0.000
0.500 0.500 0.000
0.000 0.500 0.500
0.500 0.000 0.500
0.000 0.000 0.500

3.
PBE LiCa2In6Pd, relaxed; M_tot = 0.00 μB per cell; total DFT energy (no corrections) = -2.941 eV/atom; symmetry = No. 12; formation energy from the elements = -187 meV/atom
1.0
5.114 -5.101 0.000
5.114 5.101 0.000
-5.089 0.000 5.132
Li Ca In Pd
1 2 6 1
direct
0.000 0.000 0.000
0.250 0.750 0.500
0.750 0.250 0.500
0.242 0.242 0.000
0.242 0.758 0.000
0.243 0.243 0.486
0.757 0.757 0.514
0.758 0.242 0.000
0.758 0.758 0.000
0.500 0.500 0.000

4.
PBE LiCa2In2Pd5, relaxed; M_tot = 0.00 μB per cell; total DFT energy (no corrections) = -4.226 eV/atom; symmetry = No. 127; formation energy from the elements = -490 meV/atom
1.0
10.548 0.000 0.000
0.000 10.548 0.000
0.000 0.000 3.563
Li Ca In Pd
2 4 4 10
direct
0.000 0.000 0.000
0.500 0.500 0.000
0.168 0.332 0.000
0.332 0.832 0.000
0.668 0.168 0.000
0.832 0.668 0.000
0.134 0.634 0.000
0.366 0.134 0.000
0.634 0.866 0.000
0.866 0.366 0.000
0.000 0.500 0.500
0.059 0.814 0.500
0.186 0.059 0.500
0.314 0.559 0.500
0.441 0.314 0.500
0.500 0.000 0.500
0.559 0.686 0.500
0.686 0.441 0.500
0.814 0.941 0.500
0.941 0.186 0.500

5.
PBE Li2Ca2InPd5, relaxed; M_tot = 0.00 μB per cell; total DFT energy (no corrections) = -4.248 eV/atom; symmetry = No. 127; formation energy from the elements = -594 meV/atom
1.0
9.664 0.000 0.000
0.000 9.664 0.000
0.000 0.000 3.762
Li Ca In Pd
4 4 2 10
direct
0.119 0.381 0.000
0.381 0.881 0.000
0.619 0.119 0.000
0.881 0.619 0.000
0.179 0.679 0.000
0.321 0.179 0.000
0.679 0.821 0.000
0.821 0.321 0.000
0.000 0.000 0.000
0.500 0.500 0.000
0.000 0.500 0.500
0.064 0.210 0.500
0.210 0.936 0.500
0.290 0.436 0.500
0.436 0.710 0.500
0.500 0.000 0.500
0.564 0.290 0.500
0.710 0.564 0.500
0.790 0.064 0.500
0.936 0.790 0.500

6.
PBE LiCaIn2Pd4, relaxed; M_tot = 0.00 μB per cell; total DFT energy (no corrections) = -4.380 eV/atom; symmetry = No. 166; formation energy from the elements = -609 meV/atom
1.0
2.303 1.330 7.899
-2.303 1.330 7.899
0.000 -2.659 7.899
Li Ca In Pd
1 1 2 4
direct
0.000 0.000 0.000
0.500 0.500 0.500
0.256 0.256 0.256
0.744 0.744 0.744
0.108 0.108 0.108
0.373 0.373 0.373
0.627 0.627 0.627
0.892 0.892 0.892

7.
PBE Li2Ca2PmIn2, relaxed; M_tot = 0.00 μB per cell; total DFT energy (no corrections) = -2.851 eV/atom; symmetry = No. 166; formation energy from the elements = -271 meV/atom
1.0
2.512 1.451 9.000
-2.512 1.451 9.000
0.000 -2.901 9.000
Li Ca Pm In
2 2 1 2
direct
0.108 0.108 0.108
0.892 0.892 0.892
0.373 0.373 0.373
0.627 0.627 0.627
0.500 0.500 0.500
0.232 0.232 0.232
0.768 0.768 0.768

8.
PBE Li2Ca2PmIn5, relaxed; M_tot = 0.00 μB per cell; total DFT energy (no corrections) = -3.020 eV/atom; symmetry = No. 127; formation energy from the elements = -392 meV/atom
1.0
10.461 0.000 0.000
0.000 10.461 0.000
0.000 0.000 4.601
Li Ca Pm In
4 4 2 10
direct
0.117 0.383 0.000
0.383 0.883 0.000
0.617 0.117 0.000
0.883 0.617 0.000
0.177 0.677 0.000
0.323 0.177 0.000
0.677 0.823 0.000
0.823 0.323 0.000
0.000 0.000 0.000
0.500 0.500 0.000
0.000 0.500 0.500
0.066 0.213 0.500
0.213 0.934 0.500
0.287 0.434 0.500
0.434 0.713 0.500
0.500 0.000 0.500
0.566 0.287 0.500
0.713 0.566 0.500
0.787 0.066 0.500
0.934 0.787 0.500

9.
PBE LiCaPmIn, relaxed; M_tot = 0.00 μB per cell; total DFT energy (no corrections) = -3.139 eV/atom; symmetry = No. 216; formation energy from the elements = -288 meV/atom
1.0
0.000 3.833 3.833
3.833 0.000 3.833
3.833 3.833 0.000
Li Ca Pm In
1 1 1 1
direct
0.000 0.000 0.000
0.250 0.250 0.250
0.750 0.750 0.750
0.500 0.500 0.500

10.
PBE Li2CaPr2In5, relaxed; M_tot = 0.00 μB per cell; total DFT energy (no corrections) = -3.335 eV/atom; symmetry = No. 127; formation energy from the elements = -427 meV/atom
1.0
10.448 0.000 0.000
0.000 10.448 0.000
0.000 0.000 4.553
Li Ca Pr In
4 2 4 10
direct
0.115 0.385 0.000
0.385 0.885 0.000
0.615 0.115 0.000
0.885 0.615 0.000
0.000 0.000 0.000
0.500 0.500 0.000
0.179 0.679 0.000
0.321 0.179 0.000
0.679 0.821 0.000
0.821 0.321 0.000
0.000 0.500 0.500
0.067 0.214 0.500
0.214 0.933 0.500
0.286 0.433 0.500
0.433 0.714 0.500
0.500 0.000 0.500
0.567 0.286 0.500
0.714 0.567 0.500
0.786 0.067 0.500
0.933 0.786 0.500

11.
PBE LiCaPr2In4, relaxed; M_tot = 0.00 μB per cell; total DFT energy (no corrections) = -3.472 eV/atom; symmetry = No. 166; formation energy from the elements = -418 meV/atom
1.0
2.689 1.552 8.848
-2.689 1.552 8.848
0.000 -3.104 8.848
Li Ca Pr In
1 1 2 4
direct
0.000 0.000 0.000
0.500 0.500 0.500
0.253 0.253 0.253
0.747 0.747 0.747
0.122 0.122 0.122
0.373 0.373 0.373
0.627 0.627 0.627
0.878 0.878 0.878

12.
PBE LiCa2In12Pt3, relaxed; M_tot = 0.00 μB per cell; total DFT energy (no corrections) = -3.321 eV/atom; symmetry = No. 166; formation energy from the elements = -160 meV/atom
1.0
4.713 2.721 6.612
-4.713 2.721 6.612
0.000 -5.442 6.612
Li Ca In Pt
1 2 12 3
direct
0.000 0.000 0.000
0.416 0.416 0.416
0.584 0.584 0.584
0.155 0.738 0.738
0.172 0.172 0.551
0.172 0.551 0.172
0.262 0.262 0.845
0.262 0.845 0.262
0.449 0.828 0.828
0.551 0.172 0.172
0.738 0.155 0.738
0.738 0.738 0.155
0.828 0.449 0.828
0.828 0.828 0.449
0.845 0.262 0.262
0.000 0.000 0.500
0.000 0.500 0.000
0.500 0.000 0.000

total DFT energy (no corrections) of number 10 (Li2CaPr2In5)?
-3.335 eV/atom

What did the eighth record say?
PBE Li2Ca2PmIn5, relaxed; M_tot = 0.00 μB per cell; total DFT energy (no corrections) = -3.020 eV/atom; symmetry = No. 127; formation energy from the elements = -392 meV/atom
1.0
10.461 0.000 0.000
0.000 10.461 0.000
0.000 0.000 4.601
Li Ca Pm In
4 4 2 10
direct
0.117 0.383 0.000
0.383 0.883 0.000
0.617 0.117 0.000
0.883 0.617 0.000
0.177 0.677 0.000
0.323 0.177 0.000
0.677 0.823 0.000
0.823 0.323 0.000
0.000 0.000 0.000
0.500 0.500 0.000
0.000 0.500 0.500
0.066 0.213 0.500
0.213 0.934 0.500
0.287 0.434 0.500
0.434 0.713 0.500
0.500 0.000 0.500
0.566 0.287 0.500
0.713 0.566 0.500
0.787 0.066 0.500
0.934 0.787 0.500

Among the records above, which one has the lowest formation energy from the elements?
LiCaInP2

Which of these has the lowest total DFT energy (no corrections)?
LiCaIn2Pd4